{"formula": "NiSe2BrO", "functional": "PBE+U", "state": "optimized geometry", "lattice_angstrom": [[-1.343, -2.341, 3.530], [4.225, -1.008, 0.939], [0.330, 3.927, 2.730]], "species": ["O", "Br", "Se", "Se", "Ni"], "fractional_positions": [[0.000, 0.000, 0.000], [0.000, 0.000, 0.500], [0.000, 0.500, 0.000], [0.500, 0.000, 0.000], [0.500, 0.500, 0.500]], "polymorph_energy_mev_per_atom": 0.0, "m_tot_mub_per_fu": 2.01, "spacegroup": "P4/mmm (123)"}